The following is a PBE calculation of a relaxed CoAs2SeBr crystal, from Alexandria.

Cell: 5.0785 5.0785 5.1825 Å, 90.00 90.00 90.00°
Last column: nearest neighbours and their distance in Å.
Element x y z (fractional)
1 Se 0.0000 0.0000 0.0000  4 As 2.54, 2 Br 2.59
2 Co 0.5000 0.5000 0.5000  4 Br 3.59, 8 As 3.63
3 As 0.0000 0.5000 0.0000  2 Se 2.54
4 As 0.5000 0.0000 0.0000  2 Se 2.54
5 Br 0.0000 0.0000 0.5000  2 Se 2.59

The calculation puts the energy above the most stable polymorph in this dataset at 0.8504 eV per atom. For the volume, the calculation gives 26.73 Å³ per atom. The total energy comes out at -3.05 eV/atom. The uncorrected formation energy comes out at 1.27 eV per atom. As for the density of states at the Fermi level: 7.094 states/eV per cell.

The following is a PBE calculation of a relaxed CoAsSe2Br crystal, from Alexandria.

Cell: 4.6820 4.6820 4.7931 Å, 90.00 90.00 90.00°
Last column: nearest neighbours and their distance in Å.
Element x y z (fractional)
1 Br 0.0000 0.0000 0.5000  2 Co 2.40
2 Co 0.0000 0.0000 0.0000  4 Se 2.34, 2 Br 2.40
3 As 0.5000 0.5000 0.5000  4 Br 3.31, 8 Se 3.35
4 Se 0.0000 0.5000 0.0000  2 Co 2.34
5 Se 0.5000 0.0000 0.0000  2 Co 2.34

The calculation puts the energy above the most stable polymorph in this dataset at 0.0376 eV per atom. For the volume, the calculation gives 21.01 Å³ per atom. The total energy comes out at -3.63 eV/atom. The uncorrected formation energy comes out at 0.44 eV per atom. As for the density of states at the Fermi level: 5.279 states/eV per cell.

The following is a PBE calculation of a relaxed CoAsSeBr2 crystal, from Alexandria.

Cell: 4.7791 4.7791 4.8030 Å, 90.00 90.00 90.00°
Last column: nearest neighbours and their distance in Å.
Element x y z (fractional)
1 Co 0.0000 0.0000 0.0000  4 Br 2.39, 2 Se 2.40
2 Br 0.0000 0.5000 0.0000  2 Co 2.39
3 Br 0.5000 0.0000 0.0000  2 Co 2.39
4 As 0.5000 0.5000 0.5000  4 Se 3.38, 8 Br 3.39
5 Se 0.0000 0.0000 0.5000  2 Co 2.40

The calculation puts the energy above the most stable polymorph in this dataset at 0.0000 eV per atom. For the volume, the calculation gives 21.94 Å³ per atom. The total energy comes out at -3.30 eV/atom. The uncorrected formation energy comes out at 0.42 eV per atom. As for the density of states at the Fermi level: 4.851 states/eV per cell.

The following is a PBE calculation of a relaxed CoAsSeBr2 crystal, from Alexandria.

Cell: 4.7770 4.7770 4.7651 Å, 90.00 90.00 90.00°
Last column: nearest neighbours and their distance in Å.
Element x y z (fractional)
1 Se 0.5000 0.5000 0.5000  8 Br 3.37, 4 As 3.38
2 As 0.0000 0.0000 0.5000  2 Co 2.38
3 Br 0.0000 0.5000 0.0000  2 Co 2.39
4 Br 0.5000 0.0000 0.0000  2 Co 2.39
5 Co 0.0000 0.0000 0.0000  2 As 2.38, 4 Br 2.39

The calculation puts the energy above the most stable polymorph in this dataset at 0.0172 eV per atom. For the volume, the calculation gives 21.75 Å³ per atom. The total energy comes out at -3.28 eV/atom. The uncorrected formation energy comes out at 0.43 eV per atom. As for the density of states at the Fermi level: 5.635 states/eV per cell.

The following is a PBE calculation of a relaxed CoAsSeBr2 crystal, from Alexandria.

Cell: 5.2071 5.2071 5.2104 Å, 90.00 90.00 90.00°
Last column: nearest neighbours and their distance in Å.
Element x y z (fractional)
1 As 0.0000 0.0000 0.0000  4 Br 2.60, 2 Se 2.61
2 Se 0.0000 0.0000 0.5000  2 As 2.61
3 Br 0.5000 0.0000 0.0000  2 As 2.60
4 Br 0.0000 0.5000 0.0000  2 As 2.60
5 Co 0.5000 0.5000 0.5000  4 Se 3.68, 8 Br 3.68

The calculation puts the energy above the most stable polymorph in this dataset at 0.2869 eV per atom. For the volume, the calculation gives 28.25 Å³ per atom. The total energy comes out at -3.01 eV/atom. The uncorrected formation energy comes out at 0.70 eV per atom. As for the density of states at the Fermi level: 10.722 states/eV per cell.

The following is a PBE calculation of a relaxed CoAsSe2Br crystal, from Alexandria.

Cell: 4.5349 4.5349 5.2547 Å, 90.00 90.00 90.00°
Last column: nearest neighbours and their distance in Å.
Element x y z (fractional)
1 Se 0.5000 0.0000 0.0000  2 Co 2.27
2 Se 0.0000 0.5000 0.0000  2 Co 2.27
3 Co 0.0000 0.0000 0.0000  4 Se 2.27
4 Br 0.5000 0.5000 0.5000  4 As 3.21, 8 Se 3.47
5 As 0.0000 0.0000 0.5000  2 Co 2.63

The calculation puts the energy above the most stable polymorph in this dataset at 0.0000 eV per atom. For the volume, the calculation gives 21.61 Å³ per atom. The total energy comes out at -3.67 eV/atom. The uncorrected formation energy comes out at 0.41 eV per atom. As for the density of states at the Fermi level: 5.975 states/eV per cell.

The following is a PBE calculation of a relaxed CoAsSe2Br crystal, from Alexandria.

Cell: 5.1150 5.1150 5.1144 Å, 90.00 90.00 90.00°
Last column: nearest neighbours and their distance in Å.
Element x y z (fractional)
1 As 0.0000 0.0000 0.5000  2 Br 2.56
2 Se 0.5000 0.0000 0.0000  2 Br 2.56
3 Se 0.0000 0.5000 0.0000  2 Br 2.56
4 Br 0.0000 0.0000 0.0000  2 As 2.56, 4 Se 2.56
5 Co 0.5000 0.5000 0.5000  8 Se 3.62, 4 As 3.62

The calculation puts the energy above the most stable polymorph in this dataset at 1.0994 eV per atom. For the volume, the calculation gives 26.76 Å³ per atom. The total energy comes out at -2.57 eV/atom. The uncorrected formation energy comes out at 1.51 eV per atom. As for the density of states at the Fermi level: 7.695 states/eV per cell.

The following is a PBE calculation of a relaxed CoAs2SeBr crystal, from Alexandria.

Cell: 4.6445 4.6445 4.7660 Å, 90.00 90.00 90.00°
Last column: nearest neighbours and their distance in Å.
Element x y z (fractional)
1 Co 0.0000 0.0000 0.0000  4 As 2.32, 2 Br 2.38
2 Br 0.0000 0.0000 0.5000  2 Co 2.38
3 Se 0.5000 0.5000 0.5000  4 Br 3.28, 8 As 3.33
4 As 0.0000 0.5000 0.0000  2 Co 2.32
5 As 0.5000 0.0000 0.0000  2 Co 2.32

The calculation puts the energy above the most stable polymorph in this dataset at 0.0240 eV per atom. For the volume, the calculation gives 20.56 Å³ per atom. The total energy comes out at -3.87 eV/atom. The uncorrected formation energy comes out at 0.44 eV per atom. As for the density of states at the Fermi level: 4.721 states/eV per cell.

The following is a PBE calculation of a relaxed CoAs2SeBr crystal, from Alexandria.

Cell: 4.4808 4.4808 5.2505 Å, 90.00 90.00 90.00°
Last column: nearest neighbours and their distance in Å.
Element x y z (fractional)
1 As 0.0000 0.5000 0.0000  2 Co 2.24
2 As 0.5000 0.0000 0.0000  2 Co 2.24
3 Br 0.5000 0.5000 0.5000  4 Se 3.17, 8 As 3.45
4 Se 0.0000 0.0000 0.5000  2 Co 2.63
5 Co 0.0000 0.0000 0.0000  4 As 2.24

The calculation puts the energy above the most stable polymorph in this dataset at 0.0000 eV per atom. For the volume, the calculation gives 21.08 Å³ per atom. The total energy comes out at -3.90 eV/atom. The uncorrected formation energy comes out at 0.42 eV per atom. As for the density of states at the Fermi level: 4.291 states/eV per cell.

The following is a PBE calculation of a relaxed CoAsSe2Br crystal, from Alexandria.

Cell: 5.1213 5.1213 5.0741 Å, 90.00 90.00 90.00°
Last column: nearest neighbours and their distance in Å.
Element x y z (fractional)
1 Co 0.5000 0.5000 0.5000  8 Se 3.60, 4 Br 3.62
2 Se 0.5000 0.0000 0.0000  2 As 2.56
3 Se 0.0000 0.5000 0.0000  2 As 2.56
4 Br 0.0000 0.0000 0.5000  2 As 2.54
5 As 0.0000 0.0000 0.0000  2 Br 2.54, 4 Se 2.56

The calculation puts the energy above the most stable polymorph in this dataset at 0.4337 eV per atom. For the volume, the calculation gives 26.62 Å³ per atom. The total energy comes out at -3.24 eV/atom. The uncorrected formation energy comes out at 0.84 eV per atom. As for the density of states at the Fermi level: 5.336 states/eV per cell.

The following is a PBE calculation of a relaxed CoAsSeBr2 crystal, from Alexandria.

Cell: 5.2294 5.2294 5.2770 Å, 90.00 90.00 90.00°
Last column: nearest neighbours and their distance in Å.
Element x y z (fractional)
1 Co 0.5000 0.5000 0.5000  4 As 3.70, 8 Br 3.71
2 Se 0.0000 0.0000 0.0000  4 Br 2.61, 2 As 2.64
3 Br 0.5000 0.0000 0.0000  2 Se 2.61
4 Br 0.0000 0.5000 0.0000  2 Se 2.61
5 As 0.0000 0.0000 0.5000  2 Se 2.64

The calculation puts the energy above the most stable polymorph in this dataset at 0.6254 eV per atom. For the volume, the calculation gives 28.86 Å³ per atom. The total energy comes out at -2.68 eV/atom. The uncorrected formation energy comes out at 1.04 eV per atom. As for the density of states at the Fermi level: 7.240 states/eV per cell.

The following is a PBE calculation of a relaxed CoSiAs2Br crystal, from Alexandria.

Cell: 4.7805 4.7805 5.0444 Å, 90.00 90.00 90.00°
Last column: nearest neighbours and their distance in Å.
Element x y z (fractional)
1 Co 0.5000 0.5000 0.5000  4 Br 3.38, 8 As 3.47
2 As 0.0000 0.5000 0.0000  2 Si 2.39
3 As 0.5000 0.0000 0.0000  2 Si 2.39
4 Si 0.0000 0.0000 0.0000  4 As 2.39, 2 Br 2.52
5 Br 0.0000 0.0000 0.5000  2 Si 2.52

The calculation puts the energy above the most stable polymorph in this dataset at 0.3943 eV per atom. For the volume, the calculation gives 23.06 Å³ per atom. The total energy comes out at -3.68 eV/atom. The uncorrected formation energy comes out at 1.02 eV per atom. As for the density of states at the Fermi level: 4.624 states/eV per cell.

The following is a PBE calculation of a relaxed CoSiAs2Br crystal, from Alexandria.

Cell: 4.4877 4.4877 5.2217 Å, 90.00 90.00 90.00°
Last column: nearest neighbours and their distance in Å.
Element x y z (fractional)
1 Si 0.5000 0.5000 0.5000  4 Br 3.17, 8 As 3.44
2 Br 0.0000 0.0000 0.5000  2 Co 2.61
3 As 0.5000 0.0000 0.0000  2 Co 2.24
4 As 0.0000 0.5000 0.0000  2 Co 2.24
5 Co 0.0000 0.0000 0.0000  4 As 2.24

The calculation puts the energy above the most stable polymorph in this dataset at 0.0000 eV per atom. For the volume, the calculation gives 21.03 Å³ per atom. The total energy comes out at -4.08 eV/atom. The uncorrected formation energy comes out at 0.62 eV per atom. As for the density of states at the Fermi level: 4.353 states/eV per cell.

The following is a PBE calculation of a relaxed CoSnAs2Br crystal, from Alexandria.

Cell: 4.5481 4.5481 5.4382 Å, 90.00 90.00 90.00°
Last column: nearest neighbours and their distance in Å.
Element x y z (fractional)
1 Co 0.0000 0.0000 0.0000  4 As 2.27
2 Sn 0.5000 0.5000 0.5000  4 Br 3.22, 8 As 3.54
3 As 0.5000 0.0000 0.0000  2 Co 2.27
4 As 0.0000 0.5000 0.0000  2 Co 2.27
5 Br 0.0000 0.0000 0.5000  2 Co 2.72

The calculation puts the energy above the most stable polymorph in this dataset at 0.0000 eV per atom. For the volume, the calculation gives 22.50 Å³ per atom. The total energy comes out at -4.16 eV/atom. The uncorrected formation energy comes out at 0.25 eV per atom. As for the density of states at the Fermi level: 4.316 states/eV per cell.